# 1
Material: OsPbSe2N
Method: DFT, GGA-PBEsol
State: optimized geometry

Calculated values
Its total magnetization is 0.00 μB/cell. The raw formation energy is 61 kJ/mol of formula units. Its electronic total energy is -31.805 eV per cell. The symmetry is P4/mmm (123).

Cell lengths 3.698, 5.149, 5.149 Å; angles 90.00, 90.00, 90.00 degrees
Element x y z (fractional)
Se (0.000, 0.000, 0.500)
Se (0.000, 0.500, 0.000)
Os (0.000, 0.000, 0.000)
N (0.500, 0.000, 0.000)
Pb (0.500, 0.500, 0.500)



# 2
Material: OsPd3N
Method: DFT, GGA-PBEsol
State: optimized geometry

Calculated values
Its total magnetization is 0.01 μB/cell. The raw formation energy is 382 kJ/mol of formula units. Its electronic total energy is -34.657 eV per cell. The symmetry is Pm-3m (221).

Cell lengths 4.047, 4.047, 4.047 Å; angles 90.00, 90.00, 90.00 degrees
Element x y z (fractional)
Pd (0.000, 0.500, 0.000)
Pd (0.500, 0.000, 0.000)
Pd (0.000, 0.000, 0.500)
Os (0.500, 0.500, 0.500)
N (0.000, 0.000, 0.000)



# 3
Material: OsPdN2
Method: DFT, GGA-PBEsol
State: optimized geometry

Calculated values
Its total magnetization is 0.00 μB/cell. The raw formation energy is 163 kJ/mol of formula units. Its electronic total energy is -33.535 eV per cell. The symmetry is R-3m (166).

Cell lengths 2.811, 2.811, 6.662 Å; angles 77.82, 77.82, 60.00 degrees
Element x y z (fractional)
Os (0.500, 0.500, 0.500)
N (0.101, 0.101, 0.696)
N (0.899, 0.899, 0.304)
Pd (0.000, 0.000, 0.000)



# 4
Material: TeOsPdN2
Method: DFT, GGA-PBEsol
State: optimized geometry

Calculated values
Its total magnetization is 0.00 μB/cell. The raw formation energy is 258 kJ/mol of formula units. Its electronic total energy is -36.079 eV per cell. The symmetry is P4/mmm (123).

Cell lengths 3.755, 3.755, 5.795 Å; angles 90.00, 90.00, 90.00 degrees
Element x y z (fractional)
N (0.000, 0.500, 0.000)
N (0.500, 0.000, 0.000)
Te (0.000, 0.000, 0.500)
Os (0.000, 0.000, 0.000)
Pd (0.500, 0.500, 0.500)



# 5
Material: Os2Pt2N
Method: DFT, GGA-PBEsol
State: optimized geometry

Calculated values
Its total magnetization is 0.00 μB/cell. The raw formation energy is 796 kJ/mol of formula units. Its electronic total energy is -38.640 eV per cell. The symmetry is I4/mmm (139).

Cell lengths 3.533, 3.533, 6.682 Å; angles 105.33, 105.33, 90.00 degrees
Element x y z (fractional)
Pt (0.250, 0.750, 0.500)
Pt (0.750, 0.250, 0.500)
Os (0.594, 0.594, 0.188)
Os (0.406, 0.406, 0.812)
N (0.000, 0.000, 0.000)



# 6
Material: OsPt3N
Method: DFT, GGA-PBEsol
State: optimized geometry

Calculated values
Its total magnetization is 2.56 μB/cell. The raw formation energy is 1253 kJ/mol of formula units. Its electronic total energy is -28.648 eV per cell. The symmetry is Pm-3m (221).

Cell lengths 4.773, 4.773, 4.773 Å; angles 90.00, 90.00, 90.00 degrees
Each line ends with the local moment (μB).
Element x y z (fractional)
Pt (0.500, 0.000, 0.000)  0.00
Pt (0.000, 0.000, 0.500)  0.00
Pt (0.000, 0.500, 0.000)  0.00
Os (0.000, 0.000, 0.000)  0.10
N (0.500, 0.500, 0.500)  1.70



# 7
Material: TiOs2PtN
Method: DFT, GGA-PBEsol
State: optimized geometry

Calculated values
Its total magnetization is 1.33 μB/cell. The raw formation energy is 883 kJ/mol of formula units. Its electronic total energy is -39.091 eV per cell. The symmetry is P4/mmm (123).

Cell lengths 3.490, 4.943, 4.943 Å; angles 90.00, 90.00, 90.00 degrees
Each line ends with the local moment (μB).
Element x y z (fractional)
Ti (0.500, 0.500, 0.500)  -0.31
Pt (0.000, 0.000, 0.000)  0.13
Os (0.000, 0.500, 0.000)  0.70
Os (0.000, 0.000, 0.500)  0.70
N (0.500, 0.000, 0.000)  0.05



# 8
Material: RbScOsN2
Method: DFT, GGA-PBEsol
State: optimized geometry

Calculated values
Its total magnetization is 0.00 μB/cell. The raw formation energy is 378 kJ/mol of formula units. Its electronic total energy is -32.981 eV per cell. The symmetry is P4/mmm (123).

Cell lengths 3.974, 3.974, 5.028 Å; angles 90.00, 90.00, 90.00 degrees
Element x y z (fractional)
N (0.000, 0.500, 0.000)
N (0.500, 0.000, 0.000)
Sc (0.000, 0.000, 0.500)
Os (0.000, 0.000, 0.000)
Rb (0.500, 0.500, 0.500)



# 9
Material: RbTeOsN2
Method: DFT, GGA-PBEsol
State: optimized geometry

Calculated values
Its energy above the most stable polymorph in this dataset is 234.0 kJ/mol of atoms. Its total magnetization is 5.45 μB/cell. The raw formation energy is 1579 kJ/mol of formula units. Its electronic total energy is -17.451 eV per cell. The symmetry is P4/mmm (123).

Cell lengths 4.181, 4.181, 6.644 Å; angles 90.00, 90.00, 90.00 degrees
Each line ends with the local moment (μB).
Element x y z (fractional)
Te (0.000, 0.000, 0.500)  0.10
N (0.500, 0.000, 0.000)  0.88
N (0.000, 0.500, 0.000)  0.88
Rb (0.000, 0.000, 0.000)  0.03
Os (0.500, 0.500, 0.500)  2.37



# 10
Material: RbTeOsN2
Method: DFT, GGA-PBEsol
State: optimized geometry

Calculated values
Its energy above the most stable polymorph in this dataset is 0.0 kJ/mol of atoms. Its total magnetization is 0.00 μB/cell. The raw formation energy is 409 kJ/mol of formula units. Its electronic total energy is -29.579 eV per cell. The symmetry is P4/mmm (123).

Cell lengths 4.055, 4.055, 5.533 Å; angles 90.00, 90.00, 90.00 degrees
Element x y z (fractional)
N (0.000, 0.500, 0.000)
N (0.500, 0.000, 0.000)
Te (0.000, 0.000, 0.500)
Os (0.000, 0.000, 0.000)
Rb (0.500, 0.500, 0.500)



# 11
Material: ReSnOsN2
Method: DFT, GGA-PBEsol
State: optimized geometry

Calculated values
Its total magnetization is 3.55 μB/cell. The raw formation energy is 1286 kJ/mol of formula units. Its electronic total energy is -33.527 eV per cell. The symmetry is P4/mmm (123).

Cell lengths 3.846, 3.846, 5.691 Å; angles 90.00, 90.00, 90.00 degrees
Each line ends with the local moment (μB).
Element x y z (fractional)
Re (0.000, 0.000, 0.500)  0.46
N (0.500, 0.000, 0.000)  0.77
N (0.000, 0.500, 0.000)  0.77
Os (0.500, 0.500, 0.500)  0.84
Sn (0.000, 0.000, 0.000)  0.00



# 12
Material: SrOsRh2N
Method: DFT, GGA-PBEsol
State: optimized geometry

Calculated values
Its total magnetization is 1.17 μB/cell. The raw formation energy is 324 kJ/mol of formula units. Its electronic total energy is -35.501 eV per cell. The symmetry is P4/mmm (123).

Cell lengths 4.000, 4.000, 4.749 Å; angles 90.00, 90.00, 90.00 degrees
Each line ends with the local moment (μB).
Element x y z (fractional)
Os (0.500, 0.500, 0.500)  0.85
Sr (0.000, 0.000, 0.500)  0.00
Rh (0.500, 0.000, 0.000)  0.13
Rh (0.000, 0.500, 0.000)  0.13
N (0.000, 0.000, 0.000)  0.00